Record 1
# Ac3Pr3Hg2

An optimized crystal structure of Ac3Pr3Hg2 (PBE, Alexandria via LeMat-Bulk).

As for the volume: 1165 Å³ per cell. Its electronic total energy is -3.587 eV/atom. Its magnetization is 0.00 μB per formula unit. The formation enthalpy at 0 K comes out at -0.178 eV per atom.

It has space group Cmcm (No. 63), with a = 5.302 Å, b = 12.768 Å, c = 17.216 Å, α = 90.00°, β = 90.00° and γ = 90.00°. Symmetry generates all atoms from Ac at (0.000, 0.045, 0.114), Ac at (0.000, 0.325, 0.250), Pr at (0.000, 0.360, 0.030), Pr at (0.000, 0.394, 0.750) and Hg at (0.000, 0.223, 0.620).


Record 2
# Ac9Pr4Hg11

An optimized crystal structure of Ac9Pr4Hg11 (PBE, Alexandria via LeMat-Bulk).

As for the volume: 1558 Å³ per cell. Its electronic total energy is -2.855 eV/atom. Its magnetization is 0.00 μB per formula unit. The formation enthalpy at 0 K comes out at -0.379 eV per atom.

It has space group Cmmm (No. 65), with a = 16.839 Å, b = 23.942 Å, c = 3.865 Å, α = 90.00°, β = 90.00° and γ = 90.00°. Symmetry generates all atoms from Ac at (0.000, 0.000, 0.000), Ac at (0.116, 0.238, 0.000), Ac at (0.120, 0.414, 0.000), Pr at (0.159, 0.091, 0.000), Hg at (0.000, 0.129, 0.500), Hg at (0.000, 0.327, 0.500), Hg at (0.000, 0.500, 0.500), Hg at (0.236, 0.323, 0.500) and Hg at (0.248, 0.000, 0.500).


Record 3
# AcPr7Hg2

An optimized crystal structure of AcPr7Hg2 (PBE, Alexandria via LeMat-Bulk).

As for the volume: 726 Å³ per cell. Its electronic total energy is -3.857 eV/atom. Its magnetization is 1.37 μB per formula unit. The formation enthalpy at 0 K comes out at -0.040 eV per atom.

It has space group I4/mmm (No. 139), with a = 5.319 Å, b = 5.319 Å, c = 25.649 Å, α = 90.00°, β = 90.00° and γ = 90.00°. Symmetry generates all atoms from Ac at (0.000, 0.000, 0.000), Pr at (0.000, 0.000, 0.500), Pr at (0.000, 0.500, 0.103), Pr at (0.000, 0.500, 0.250) and Hg at (0.000, 0.000, 0.322).


Record 4
# AcPr3Hg

An optimized crystal structure of AcPr3Hg (PBE, Alexandria via LeMat-Bulk).

As for the energy relative to the lowest polymorph listed for this composition: 0 meV/atom. As for the volume: 347 Å³ per cell. Its electronic total energy is -3.933 eV/atom. Its magnetization is 0.00 μB per formula unit. The formation enthalpy at 0 K comes out at -0.184 eV per atom.

It has space group P-1 (No. 2), with a = 3.873 Å, b = 9.055 Å, c = 10.359 Å, α = 77.02°, β = 79.23° and γ = 89.97°. Symmetry generates all atoms from Ac at (0.096, 0.039, 0.307), Pr at (0.297, 0.177, 0.908), Pr at (0.313, 0.615, 0.873), Pr at (0.497, 0.706, 0.505) and Hg at (0.103, 0.574, 0.294).


| no. | Fermi-level density of states (states/eV/f.u.) |
| --- | --- |
| 1 | 11.090 |
| 2 | 25.042 |
| 3 | 19.843 |
| 4 | 6.552 |